Record 1
The following is a DFT calculation (GGA-PBE) of a relaxed BaHg2Rh2 crystal.

Space group ... No. 139
ΔE to the lowest computed polymorph ... 40 kJ/mol of formula units

a = 4.850 Å, b = 4.850 Å, c = 6.296 Å
α = 67.35°, β = 67.35°, γ = 90.00°
Sites, in units of the cell vectors:
Rh 0.750 0.250 0.500
Rh 0.250 0.750 0.500
Hg 0.365 0.365 0.271
Hg 0.635 0.635 0.729
Ba 0.000 0.000 0.000

***

Record 2
The following is a DFT calculation (GGA-PBE) of a relaxed BaHgRh crystal.

Space group ... No. 216

a = 4.997 Å, b = 4.997 Å, c = 4.997 Å
α = 60.00°, β = 60.00°, γ = 60.00°
Sites, in units of the cell vectors:
Ba 0.000 0.000 0.000
Hg 0.500 0.500 0.500
Rh 0.250 0.250 0.250

***

Record 3
The following is a DFT calculation (GGA-PBE) of a relaxed BaHg2Rh crystal.

Space group ... No. 216

a = 5.273 Å, b = 5.273 Å, c = 5.273 Å
α = 60.00°, β = 60.00°, γ = 60.00°
Sites, in units of the cell vectors:
Ba 0.250 0.250 0.250
Hg 0.000 0.000 0.000
Hg 0.750 0.750 0.750
Rh 0.500 0.500 0.500

***

Record 4
The following is a DFT calculation (GGA-PBE) of a relaxed Ba3Hg3Rh crystal.

Space group ... No. 12

a = 4.471 Å, b = 6.584 Å, c = 17.364 Å
α = 83.08°, β = 82.60°, γ = 70.15°
Sites, in units of the cell vectors:
Ba 0.526 0.344 0.604
Ba 0.474 0.656 0.396
Ba 0.254 0.239 0.252
Ba 0.746 0.761 0.748
Ba 0.400 0.282 0.918
Ba 0.600 0.718 0.082
Hg 0.825 0.811 0.539
Hg 0.175 0.189 0.461
Hg 0.117 0.847 0.919
Hg 0.883 0.153 0.081
Hg 0.971 0.816 0.241
Hg 0.029 0.184 0.759
Rh 0.791 0.043 0.376
Rh 0.209 0.957 0.624

***

Record 5
The following is a DFT calculation (GGA-PBE) of a relaxed Ba8Hg2Rh crystal.

Space group ... No. 12
ΔE to the lowest computed polymorph ... 0 kJ/mol of formula units

a = 7.912 Å, b = 8.926 Å, c = 8.926 Å
α = 72.27°, β = 74.82°, γ = 74.82°
Sites, in units of the cell vectors:
Ba 0.237 0.660 0.058
Ba 0.763 0.942 0.340
Ba 0.247 0.128 0.128
Ba 0.753 0.872 0.872
Ba 0.237 0.058 0.660
Ba 0.763 0.340 0.942
Ba 0.780 0.420 0.420
Ba 0.220 0.580 0.580
Hg 0.439 0.319 0.319
Hg 0.561 0.681 0.681
Rh 0.000 0.000 0.000

***

Record 6
The following is a DFT calculation (GGA-PBE) of a relaxed Ba8Hg3Rh2 crystal.

Space group ... No. 12

a = 7.729 Å, b = 9.806 Å, c = 9.806 Å
α = 55.33°, β = 75.91°, γ = 75.91°
Sites, in units of the cell vectors:
Ba 0.784 0.618 0.618
Ba 0.216 0.382 0.382
Ba 0.727 0.159 0.159
Ba 0.273 0.841 0.841
Ba 0.777 0.614 0.092
Ba 0.777 0.092 0.614
Ba 0.223 0.908 0.386
Ba 0.223 0.386 0.908
Hg 0.500 0.000 0.000
Hg 0.000 0.193 0.807
Hg 0.000 0.807 0.193
Rh 0.995 0.263 0.263
Rh 0.005 0.737 0.737

***

Record 7
The following is a DFT calculation (GGA-PBE) of a relaxed Ba6HgRh2 crystal.

Space group ... No. 162
ΔE to the lowest computed polymorph ... 0 kJ/mol of formula units

a = 7.745 Å, b = 7.943 Å, c = 7.943 Å
α = 120.00°, β = 90.00°, γ = 90.00°
Sites, in units of the cell vectors:
Ba 0.724 0.644 0.644
Ba 0.276 0.644 0.000
Ba 0.276 0.000 0.644
Ba 0.724 0.356 0.000
Ba 0.276 0.356 0.356
Ba 0.724 0.000 0.356
Hg 0.000 0.000 0.000
Rh 0.500 0.667 0.333
Rh 0.500 0.333 0.667

***

Record 8
The following is a DFT calculation (GGA-PBE) of a relaxed Ba3HgRh crystal.

Space group ... No. 15
ΔE to the lowest computed polymorph ... 10 kJ/mol of formula units

a = 8.449 Å, b = 8.496 Å, c = 14.276 Å
α = 106.76°, β = 90.00°, γ = 119.82°
Sites, in units of the cell vectors:
Ba 0.199 0.289 0.820
Ba 0.910 0.711 0.680
Ba 0.801 0.711 0.180
Ba 0.090 0.289 0.320
Ba 0.391 0.681 0.628
Ba 0.710 0.319 0.872
Ba 0.609 0.319 0.372
Ba 0.290 0.681 0.128
Ba 0.689 0.854 0.930
Ba 0.834 0.146 0.570
Ba 0.166 0.854 0.430
Ba 0.311 0.146 0.070
Hg 0.204 0.727 0.869
Hg 0.477 0.273 0.631
Hg 0.796 0.273 0.131
Hg 0.523 0.727 0.369
Rh 0.000 0.500 0.500
Rh 0.500 0.500 0.000
Rh 0.220 0.000 0.250
Rh 0.780 0.000 0.750

***

Listing volume for the structures above in their given order: 124.2 88.3 103.7 237.6 568.0 587.6 423.1 209.6 Å³/f.u..
Listing formation energy from the elements for the structures above in their given order: -0.03 -0.09 0.01 -0.42 -0.24 -0.28 -0.24 -0.26 eV per atom.